# 1
Here is crystalline Nd6Sm3DyY2 at its relaxed geometry from Alexandria via LeMat-Bulk. Energies are from PBE.

The structure in CIF format:
```
data_Nd6Sm3DyY2
_chemical_formula_sum 'Nd12 Sm6 Dy2 Y4'
_space_group_name_H-M_alt 'C 1 2/m 1'
_space_group_IT_number 12
_space_group_name_Hall '-C 2y'
_cell_length_a 6.317
_cell_length_b 10.943
_cell_length_c 11.996
_cell_angle_alpha 90.00
_cell_angle_beta 100.09
_cell_angle_gamma 90.00
loop_
_atom_site_label
_atom_site_fract_x
_atom_site_fract_y
_atom_site_fract_z
Nd1 0.249 0.000 0.252
Nd2 0.249 0.166 0.748
Sm1 0.000 0.167 0.000
Sm2 0.000 0.500 0.000
Dy1 0.000 0.000 0.500
Y1 0.000 0.333 0.500
```

=====

# 2
Here is crystalline Nd2Sm5DyY at its relaxed geometry from Alexandria via LeMat-Bulk. Energies are from PBE.

The structure in CIF format:
```
data_Nd2Sm5DyY
_chemical_formula_sum 'Nd8 Sm20 Dy4 Y4'
_space_group_name_H-M_alt 'I 4/m c m'
_space_group_IT_number 140
_space_group_name_Hall '-I 4 2c'
_cell_length_a 8.672
_cell_length_b 8.672
_cell_length_c 16.298
_cell_angle_alpha 90.00
_cell_angle_beta 90.00
_cell_angle_gamma 90.00
loop_
_atom_site_label
_atom_site_fract_x
_atom_site_fract_y
_atom_site_fract_z
Nd1 0.120 0.380 0.000
Sm1 0.000 0.000 0.000
Sm2 0.215 0.285 0.358
Dy1 0.000 0.000 0.250
Y1 0.000 0.500 0.250
```

=====

# 3
Here is crystalline Nd6Sm2DyY3 at its relaxed geometry from Alexandria via LeMat-Bulk. Energies are from PBE.

The structure in CIF format:
```
data_Nd6Sm2DyY3
_chemical_formula_sum 'Nd12 Sm4 Dy2 Y6'
_space_group_name_H-M_alt 'C 1 2/m 1'
_space_group_IT_number 12
_space_group_name_Hall '-C 2y'
_cell_length_a 6.310
_cell_length_b 10.930
_cell_length_c 11.965
_cell_angle_alpha 90.00
_cell_angle_beta 100.10
_cell_angle_gamma 90.00
loop_
_atom_site_label
_atom_site_fract_x
_atom_site_fract_y
_atom_site_fract_z
Nd1 0.249 0.000 0.249
Nd2 0.250 0.166 0.751
Sm1 0.000 0.333 0.500
Dy1 0.000 0.000 0.500
Y1 0.000 0.167 0.000
Y2 0.000 0.500 0.000
```

=====

# 4
Here is crystalline Nd6SmDy2Y3 at its relaxed geometry from Alexandria via LeMat-Bulk. Energies are from PBE.

The structure in CIF format:
```
data_Nd6SmDy2Y3
_chemical_formula_sum 'Nd12 Sm2 Dy4 Y6'
_space_group_name_H-M_alt 'C 1 2/m 1'
_space_group_IT_number 12
_space_group_name_Hall '-C 2y'
_cell_length_a 6.298
_cell_length_b 10.909
_cell_length_c 11.926
_cell_angle_alpha 90.00
_cell_angle_beta 100.11
_cell_angle_gamma 90.00
loop_
_atom_site_label
_atom_site_fract_x
_atom_site_fract_y
_atom_site_fract_z
Nd1 0.249 0.167 0.250
Nd2 0.250 0.000 0.750
Sm1 0.000 0.500 0.500
Dy1 0.000 0.167 0.500
Y1 0.000 0.000 0.000
Y2 0.000 0.333 0.000
```

=====

# 5
Here is crystalline Nd2Sm2Dy4Y at its relaxed geometry from Alexandria via LeMat-Bulk. Energies are from PBE.

The structure in CIF format:
```
data_Nd2Sm2Dy4Y
_chemical_formula_sum 'Nd4 Sm4 Dy8 Y2'
_space_group_name_H-M_alt 'C 1 2/m 1'
_space_group_IT_number 12
_space_group_name_Hall '-C 2y'
_cell_length_a 18.837
_cell_length_b 3.629
_cell_length_c 9.650
_cell_angle_alpha 90.00
_cell_angle_beta 115.73
_cell_angle_gamma 90.00
loop_
_atom_site_label
_atom_site_fract_x
_atom_site_fract_y
_atom_site_fract_z
Nd1 0.166 0.000 0.001
Sm1 0.147 0.500 0.664
Dy1 0.019 0.000 0.334
Dy2 0.185 0.500 0.336
Y1 0.000 0.500 0.000
```

=====

# 6
Here is crystalline Nd6SmDyY2 at its relaxed geometry from Alexandria via LeMat-Bulk. Energies are from PBE.

The structure in CIF format:
```
data_Nd6SmDyY2
_chemical_formula_sum 'Nd24 Sm4 Dy4 Y8'
_space_group_name_H-M_alt 'C 1 2/c 1'
_space_group_IT_number 15
_space_group_name_Hall '-C 2yc'
_cell_length_a 9.419
_cell_length_b 15.323
_cell_length_c 9.623
_cell_angle_alpha 90.00
_cell_angle_beta 96.32
_cell_angle_gamma 90.00
loop_
_atom_site_label
_atom_site_fract_x
_atom_site_fract_y
_atom_site_fract_z
Nd1 0.062 0.176 0.443
Nd2 0.094 0.387 0.616
Nd3 0.216 0.223 0.813
Sm1 0.000 0.032 0.750
Dy1 0.000 0.411 0.250
Y1 0.250 0.047 0.049
```

=====

Formation enthalpy at 0 K values, unit eV per atom, following the record order: 0.01; 0.27; 0.01; 0.01; 0.00; 0.12.
Electronic total energy values, unit eV per cell, following the record order: -120.323; -167.011; -123.840; -123.610; -87.644; -198.763.